Material: ZrTiBiW2
Method: DFT, PBE
State: optimized geometry

The structure in POSCAR format:
```
ZrTiBiW2
1.0
-4.259 -0.380 -1.823
2.050 -1.587 -4.459
-0.232 -4.407 1.461
Zr Bi W Ti
1 1 2 1
Direct
0.500 0.500 0.500 Zr
0.000 0.500 0.000 Bi
0.000 0.000 0.500 W
0.500 0.000 0.000 W
0.000 0.000 0.000 Ti
```

Calculated values
Energy ... -0.5751 Ry/atom
V ... 111 Å³/cell
SG ... P4/mmm (123)